Material: Tm3Mg3Al2Zn
Method: DFT, PBE-GGA
State: relaxed

abc: 7.2865 7.2865 4.4212
angles: 90.00 90.00 120.00
Closest atoms and distances in Å follow each position.
Positions (direct):
Tm 0.4230 0.4230 0.0000  1 Zn 3.08, 4 Al 3.10, 2 Mg 3.30
Tm 0.0000 0.5770 0.0000  1 Zn 3.08, 4 Al 3.10, 2 Mg 3.30
Tm 0.5770 0.0000 0.0000  1 Zn 3.08, 4 Al 3.10, 2 Mg 3.30
Mg 0.7591 0.7591 0.5000  2 Zn 2.82, 2 Al 2.83, 2 Mg 3.04
Mg 0.0000 0.2409 0.5000  2 Zn 2.82, 2 Al 2.83, 2 Mg 3.04
Mg 0.2409 0.0000 0.5000  2 Zn 2.82, 2 Al 2.83, 2 Mg 3.04
Al 0.3333 0.6667 0.5000  3 Mg 2.83, 6 Tm 3.10
Al 0.6667 0.3333 0.5000  3 Mg 2.83, 6 Tm 3.10
Zn 0.0000 0.0000 0.0000  6 Mg 2.82, 3 Tm 3.08

Computed properties:
calculated total energy: -3.28 eV per atom

Material: HoFe6Sn6
Method: DFT, PBE-GGA
State: relaxed

abc: 14.9412 14.9412 14.9412
angles: 159.16 145.23 40.88
Closest atoms and distances in Å follow each position.
Positions (direct):
Ho 0.0000 0.0000 0.0000  8 Sn 3.00-3.13
Ho 0.1685 0.6685 0.5000  8 Sn 3.01-3.15
Ho 0.8315 0.3315 0.5000  8 Sn 3.01-3.15
Fe 0.2463 0.5000 0.7463  4 Fe 2.69, 6 Sn 2.70-2.82
Fe 0.6703 0.6666 0.5034  6 Sn 2.69-2.81, 4 Fe 2.69-2.70
Fe 0.0809 0.8333 0.2476  6 Sn 2.69-2.82, 4 Fe 2.69-2.70
Fe 0.5000 0.5000 0.5000  4 Fe 2.69-2.70, 6 Sn 2.71-2.82
Fe 0.7537 0.5000 0.2537  4 Fe 2.69, 6 Sn 2.70-2.82
Fe 0.1632 0.6666 0.9964  6 Sn 2.69-2.81, 4 Fe 2.69-2.70
Fe 0.0000 0.5000 0.0000  4 Fe 2.69-2.70, 6 Sn 2.71-2.82
Fe 0.3297 0.8332 0.9964  6 Sn 2.69-2.81, 4 Fe 2.69-2.70
Fe 0.8368 0.3334 0.0036  6 Sn 2.69-2.81, 4 Fe 2.69-2.70
Fe 0.4143 0.1667 0.2476  6 Sn 2.69-2.82, 4 Fe 2.69-2.70
Fe 0.0000 0.0000 0.5000  4 Fe 2.69-2.70, 6 Sn 2.71-2.82
Fe 0.5000 0.0000 0.0000  4 Fe 2.69-2.70, 6 Sn 2.71-2.82
Fe 0.8368 0.8332 0.5034  6 Sn 2.69-2.81, 4 Fe 2.69-2.70
Fe 0.1632 0.1668 0.4966  6 Sn 2.69-2.81, 4 Fe 2.69-2.70
Fe 0.5857 0.8333 0.7524  6 Sn 2.69-2.82, 4 Fe 2.69-2.70
Fe 0.3297 0.3334 0.4966  6 Sn 2.69-2.81, 4 Fe 2.69-2.70
Fe 0.9191 0.1667 0.7524  6 Sn 2.69-2.82, 4 Fe 2.69-2.70
Fe 0.6703 0.1668 0.0036  6 Sn 2.69-2.81, 4 Fe 2.69-2.70
Sn 0.8882 0.8882 0.0000  6 Fe 2.69-2.70
Sn 0.5555 0.5555 0.0000  6 Fe 2.75
Sn 0.7202 0.2202 0.5000  6 Fe 2.71-2.74
Sn 0.5029 0.6662 0.8366  6 Fe 2.80-2.82, 1 Sn 2.92, 1 Ho 3.01
Sn 0.6102 0.1102 0.5000  6 Fe 2.74-2.75
Sn 0.7765 0.7765 0.0000  6 Fe 2.71-2.72
Sn 0.3898 0.8898 0.5000  6 Fe 2.74-2.75
Sn 0.1704 0.3338 0.8366  6 Fe 2.80-2.82, 1 Sn 2.92, 1 Ho 3.01
Sn 0.2798 0.7798 0.5000  6 Fe 2.71-2.74
Sn 0.4971 0.3338 0.1634  6 Fe 2.80-2.82, 1 Sn 2.92, 1 Ho 3.01
Sn 0.2235 0.2235 0.0000  6 Fe 2.71-2.72
Sn 0.1118 0.1118 0.0000  6 Fe 2.69-2.70
Sn 0.8296 0.6662 0.1634  6 Fe 2.80-2.82, 1 Sn 2.92, 1 Ho 3.01
Sn 0.9440 0.4440 0.5000  6 Fe 2.69-2.70
Sn 0.0560 0.5560 0.5000  6 Fe 2.69-2.70
Sn 0.3363 0.0000 0.3363  6 Fe 2.81-2.82, 1 Sn 2.92, 1 Ho 3.00
Sn 0.6637 0.0000 0.6637  6 Fe 2.81-2.82, 1 Sn 2.92, 1 Ho 3.00
Sn 0.4445 0.4445 0.0000  6 Fe 2.75

Computed properties:
calculated total energy: -6.15 eV per atom

Material: HoZrGa2Ni4
Method: DFT, PBE-GGA
State: relaxed

abc: 4.1302 4.1302 8.4214
angles: 90.00 90.00 120.00
Closest atoms and distances in Å follow each position.
Positions (direct):
Ni 0.3333 0.6667 0.1842  3 Ga 2.47, 1 Zr 2.66, 3 Ni 2.73
Ni 0.0000 0.0000 0.3411  3 Ga 2.48, 4 Ni 2.68-2.73, 3 Zr 2.73
Ni 0.3333 0.6667 0.8158  3 Ga 2.47, 1 Zr 2.66, 3 Ni 2.73
Ni 0.0000 0.0000 0.6589  3 Ga 2.48, 4 Ni 2.68-2.73, 3 Zr 2.73
Ga 0.6667 0.3333 0.7404  6 Ni 2.47-2.48
Ga 0.6667 0.3333 0.2596  6 Ni 2.47-2.48
Zr 0.3333 0.6667 0.5000  8 Ni 2.66-2.73
Ho 0.0000 0.0000 0.0000  8 Ni 2.84-2.87

Computed properties:
calculated total energy: -5.75 eV per atom

Material: LiGeAuS3
Method: DFT, PBE-GGA
State: relaxed

abc: 6.9094 6.9094 9.6863
angles: 90.00 90.00 29.33
Closest atoms and distances in Å follow each position.
Positions (direct):
Ge 0.0000 0.0000 0.5000  6 S 2.47-2.51
Ge 0.0000 0.0000 0.0000  6 S 2.47-2.51
S 0.3696 0.3696 0.4858  1 Au 2.30, 2 Ge 2.47
S 0.6304 0.6304 0.5142  1 Au 2.30, 2 Ge 2.47
S 0.9513 0.9513 0.7500  2 Li 2.46, 2 Ge 2.51
S 0.0487 0.0487 0.2500  2 Li 2.46, 2 Ge 2.51
S 0.3696 0.3696 0.0142  1 Au 2.30, 2 Ge 2.47
S 0.6304 0.6304 0.9858  1 Au 2.30, 2 Ge 2.47
Li 0.6776 0.6776 0.2500  4 S 2.46-2.64
Li 0.3224 0.3224 0.7500  4 S 2.46-2.64
Au 0.6522 0.6522 0.7500  2 S 2.30
Au 0.3478 0.3478 0.2500  2 S 2.30

Computed properties:
calculated total energy: -4.04 eV per atom

Material: DyNbN2O
Method: DFT, PBE-GGA
State: relaxed

abc: 3.8297 3.7282 4.7851
angles: 90.00 90.07 90.00
Closest atoms and distances in Å follow each position.
Positions (direct):
Nb 0.5004 0.5000 0.5605  3 N 1.87-2.02, 2 O 2.02
N 0.5013 0.5000 0.9506  1 Nb 1.87
N 0.0003 0.5000 0.4259  2 Nb 2.02
O 0.4998 0.0000 0.3958  2 Nb 2.02
Dy 0.9994 0.0000 0.1275  2 O 2.31, 2 N 2.35

Computed properties:
calculated total energy: -8.93 eV per atom

Material: NdHo2Mg3Tl2Cd
Method: DFT, PBE-GGA
State: relaxed

abc: 4.6608 7.6277 7.6277
angles: 120.86 90.00 90.00
Closest atoms and distances in Å follow each position.
Positions (direct):
Mg 0.5000 0.7599 0.7599  2 Cd 2.91, 2 Tl 2.98, 2 Mg 3.14
Mg 0.5000 0.2387 0.9997  2 Tl 2.93-2.96, 2 Cd 2.98, 2 Mg 3.14-3.17
Mg 0.5000 0.9997 0.2387  2 Tl 2.93-2.96, 2 Cd 2.98, 2 Mg 3.14-3.17
Nd 0.0000 0.4268 0.4268  1 Cd 3.27, 4 Tl 3.29, 6 Mg 3.42-3.65
Ho 0.0000 0.0019 0.5766  1 Cd 3.21, 4 Tl 3.23, 2 Mg 3.47
Ho 0.0000 0.5766 0.0019  1 Cd 3.21, 4 Tl 3.23, 2 Mg 3.47
Tl 0.5000 0.6722 0.3322  3 Mg 2.93-2.98, 4 Ho 3.23
Tl 0.5000 0.3322 0.6722  3 Mg 2.93-2.98, 4 Ho 3.23
Cd 0.0000 0.9921 0.9921  6 Mg 2.91-2.98, 2 Ho 3.21

Computed properties:
calculated total energy: -3.01 eV per atom

Material: Ho3FeCo2Ni6
Method: DFT, PBE-GGA
State: relaxed

abc: 8.5904 8.5904 8.5904
angles: 33.28 33.28 33.28
Closest atoms and distances in Å follow each position.
Positions (direct):
Ni 0.5812 0.0838 0.5812  4 Ni 2.45-2.47, 2 Co 2.45, 1 Fe 2.50
Ni 0.9162 0.4188 0.4188  4 Ni 2.45-2.47, 2 Co 2.45, 1 Fe 2.50
Ni 0.0838 0.5812 0.5812  4 Ni 2.45-2.47, 2 Co 2.45, 1 Fe 2.50
Ni 0.5812 0.5812 0.0838  4 Ni 2.45-2.47, 2 Co 2.45, 1 Fe 2.50
Ni 0.4188 0.9162 0.4188  4 Ni 2.45-2.47, 2 Co 2.45, 1 Fe 2.50
Ni 0.4188 0.4188 0.9162  4 Ni 2.45-2.47, 2 Co 2.45, 1 Fe 2.50
Ho 0.0000 0.0000 0.0000  6 Co 2.84, 12 Ni 3.17
Ho 0.8606 0.8606 0.8606  9 Ni 2.83-3.07, 3 Fe 2.92, 3 Ho 3.13
Ho 0.1394 0.1394 0.1394  9 Ni 2.83-3.07, 3 Fe 2.92, 3 Ho 3.13
Co 0.3332 0.3332 0.3332  6 Ni 2.45
Co 0.6668 0.6668 0.6668  6 Ni 2.45
Fe 0.5000 0.5000 0.5000  6 Ni 2.50

Computed properties:
ΔE_f: -0.27 eV/atom

Material: Nb2Te2S
Method: DFT, PBE-GGA
State: relaxed

abc: 10.4464 10.4464 10.4464
angles: 20.67 20.67 20.67
Closest atoms and distances in Å follow each position.
Positions (direct):
Nb 0.3719 0.3719 0.3719  3 S 2.47
Nb 0.6281 0.6281 0.6281  3 S 2.47
S 0.0000 0.0000 0.0000  6 Nb 2.47
Te 0.7679 0.7679 0.7679  3 Nb 2.89
Te 0.2321 0.2321 0.2321  3 Nb 2.89

Computed properties:
calculated total energy: -6.65 eV per atom

Material: Li4TmSi2
Method: DFT, PBE-GGA
State: relaxed

abc: 6.2474 6.2474 4.6889
angles: 90.00 90.00 133.41
Closest atoms and distances in Å follow each position.
Positions (direct):
Li 0.2758 0.7242 0.5000  3 Li 2.54-2.57, 2 Si 2.71
Li 0.0000 0.0000 0.0000  2 Tm 2.34
Li 0.7242 0.2758 0.5000  3 Li 2.54-2.57, 2 Si 2.71
Li 0.5000 0.5000 0.5000  2 Tm 2.47, 2 Li 2.57, 4 Si 2.64
Si 0.3944 0.6056 0.0000  1 Si 2.42, 4 Li 2.64-2.71
Si 0.6056 0.3944 0.0000  1 Si 2.42, 4 Li 2.64-2.71
Tm 0.0000 0.0000 0.5000  4 Li 2.34-2.47

Computed properties:
calculated total energy: -2.79 eV per atom

Material: YHoMg6
Method: DFT, PBE-GGA
State: relaxed

abc: 5.0790 6.5542 6.5542
angles: 67.15 90.00 90.00
Closest atoms and distances in Å follow each position.
Positions (direct):
Y 0.5000 0.8679 0.8679  10 Mg 3.25-3.33
Mg 0.0000 0.6705 0.6705  8 Mg 3.09-3.34, 2 Y 3.33
Mg 0.0000 0.6173 0.1844  7 Mg 3.09-3.34, 2 Ho 3.26-3.33, 2 Y 3.29
Mg 0.5000 0.3820 0.8168  7 Mg 3.09-3.35, 2 Y 3.25-3.33, 2 Ho 3.28
Mg 0.0000 0.1844 0.6173  7 Mg 3.09-3.34, 2 Ho 3.26-3.33, 2 Y 3.29
Mg 0.5000 0.8168 0.3820  7 Mg 3.09-3.35, 2 Y 3.25-3.33, 2 Ho 3.28
Mg 0.5000 0.3289 0.3289  8 Mg 3.09-3.35, 2 Ho 3.33
Ho 0.0000 0.1323 0.1323  12 Mg 3.26-3.65

Computed properties:
excess energy over the best structure of this formula in the dataset: 4 meV/atom

Material: Dy2YHoPt4
Method: DFT, PBE-GGA
State: relaxed

abc: 4.9104 4.9104 6.9451
angles: 90.00 90.00 90.00
Closest atoms and distances in Å follow each position.
Positions (direct):
Pt 0.5000 0.0000 0.2507  4 Dy 3.00-3.01, 2 Ho 3.00, 2 Y 3.01
Pt 0.5000 0.0000 0.7493  4 Dy 3.00-3.01, 2 Ho 3.00, 2 Y 3.01
Pt 0.0000 0.5000 0.7493  4 Dy 3.00-3.01, 2 Ho 3.00, 2 Y 3.01
Pt 0.0000 0.5000 0.2507  4 Dy 3.00-3.01, 2 Ho 3.00, 2 Y 3.01
Dy 0.0000 0.0000 0.0000  8 Pt 3.01
Dy 0.5000 0.5000 0.5000  8 Pt 3.00
Y 0.5000 0.5000 0.0000  8 Pt 3.01
Ho 0.0000 0.0000 0.5000  8 Pt 3.00

Computed properties:
ΔE_f: -1.21 eV/atom

Material: CsThIr
Method: DFT, PBE-GGA
State: relaxed

abc: 4.9477 4.9477 4.9477
angles: 60.00 60.00 60.00
Closest atoms and distances in Å follow each position.
Positions (direct):
Th 0.2500 0.2500 0.2500  4 Cs 3.03
Ir 0.7500 0.7500 0.7500  4 Cs 3.03
Cs 0.0000 0.0000 0.0000  4 Ir 3.03, 4 Th 3.03

Computed properties:
excess energy over the best structure of this formula in the dataset: 854 meV/atom

Material: PuCo12B6
Method: DFT, PBE-GGA
State: relaxed

abc: 5.9430 5.9430 5.9430
angles: 104.24 104.24 104.24
Closest atoms and distances in Å follow each position.
Positions (direct):
Co 0.5000 0.8673 0.1327  4 B 2.01-2.03
Co 0.4508 0.4508 0.1848  3 B 2.11-2.12
Co 0.4508 0.1848 0.4508  3 B 2.11-2.12
Co 0.8152 0.5492 0.5492  3 B 2.11-2.12
Co 0.5000 0.1327 0.8673  4 B 2.01-2.03
Co 0.5492 0.8152 0.5492  3 B 2.11-2.12
Co 0.8673 0.1327 0.5000  4 B 2.01-2.03
Co 0.8673 0.5000 0.1327  4 B 2.01-2.03
Co 0.1848 0.4508 0.4508  3 B 2.11-2.12
Co 0.5492 0.5492 0.8152  3 B 2.11-2.12
Co 0.1327 0.5000 0.8673  4 B 2.01-2.03
Co 0.1327 0.8673 0.5000  4 B 2.01-2.03
B 0.2320 0.6789 0.2320  7 Co 2.01-2.12
B 0.6789 0.2320 0.2320  7 Co 2.01-2.12
B 0.2320 0.2320 0.6789  7 Co 2.01-2.12
B 0.7680 0.3211 0.7680  7 Co 2.01-2.12
B 0.7680 0.7680 0.3211  7 Co 2.01-2.12
B 0.3211 0.7680 0.7680  7 Co 2.01-2.12
Pu 0.0000 0.0000 0.0000  6 B 3.02, 18 Co 3.02-3.22

Computed properties:
calculated total energy: -7.55 eV per atom

Material: Ni2PtI8
Method: DFT, PBE-GGA
State: relaxed

abc: 7.9922 7.9922 6.9407
angles: 97.40 97.40 72.51
Closest atoms and distances in Å follow each position.
Positions (direct):
I 0.6014 0.6014 0.2823  1 Ni 2.44
I 0.8225 0.8225 0.6992  1 Ni 2.53
I 0.0890 0.7042 0.1833  1 Ni 2.56, 1 Pt 2.69
I 0.9110 0.2958 0.8167  1 Ni 2.56, 1 Pt 2.69
I 0.3986 0.3986 0.7177  1 Ni 2.44
I 0.2958 0.9110 0.8167  1 Ni 2.56, 1 Pt 2.69
I 0.7042 0.0890 0.1833  1 Ni 2.56, 1 Pt 2.69
I 0.1775 0.1775 0.3008  1 Ni 2.53
Ni 0.7928 0.7928 0.3297  4 I 2.44-2.56
Ni 0.2072 0.2072 0.6703  4 I 2.44-2.56
Pt 0.0000 0.0000 0.0000  6 I 2.69-2.84

Computed properties:
calculated total energy: -2.72 eV per atom

Material: CsCuPb
Method: DFT, PBE-GGA
State: relaxed

abc: 5.7072 5.7072 5.7072
angles: 60.00 60.00 60.00
Closest atoms and distances in Å follow each position.
Positions (direct):
Cs 0.0000 0.0000 0.0000  4 Cu 3.49, 4 Pb 3.49
Pb 0.7500 0.7500 0.7500  4 Cs 3.49
Cu 0.2500 0.2500 0.2500  4 Cs 3.49

Computed properties:
excess energy over the best structure of this formula in the dataset: 497 meV/atom

Material: TlCuAgHg
Method: DFT, PBE-GGA
State: relaxed

abc: 4.8826 4.8826 4.8826
angles: 60.00 60.00 60.00
Closest atoms and distances in Å follow each position.
Positions (direct):
Cu 0.7500 0.7500 0.7500  4 Tl 2.99, 4 Ag 2.99
Ag 0.5000 0.5000 0.5000  4 Hg 2.99, 4 Cu 2.99
Tl 0.0000 0.0000 0.0000  4 Hg 2.99, 4 Cu 2.99
Hg 0.2500 0.2500 0.2500  4 Tl 2.99, 4 Ag 2.99

Computed properties:
excess energy over the best structure of this formula in the dataset: 36 meV/atom

Material: CoReIr6
Method: DFT, PBE-GGA
State: relaxed

abc: 5.4800 5.4800 4.3614
angles: 90.00 90.00 120.00
Closest atoms and distances in Å follow each position.
Positions (direct):
Re 0.3333 0.6667 0.5000  12 Ir 2.69-2.74
Ir 0.8310 0.6619 0.5000  2 Co 2.68, 8 Ir 2.70-2.78, 2 Re 2.74
Ir 0.6661 0.8331 0.0000  2 Re 2.69, 8 Ir 2.70-2.74, 2 Co 2.74
Ir 0.1669 0.8331 0.0000  2 Re 2.69, 8 Ir 2.70-2.74, 2 Co 2.74
Ir 0.8310 0.1690 0.5000  2 Co 2.68, 8 Ir 2.70-2.78, 2 Re 2.74
Ir 0.1669 0.3339 0.0000  2 Re 2.69, 8 Ir 2.70-2.74, 2 Co 2.74
Ir 0.3381 0.1690 0.5000  2 Co 2.68, 8 Ir 2.70-2.78, 2 Re 2.74
Co 0.6667 0.3333 0.0000  12 Ir 2.68-2.74

Computed properties:
ΔE_f: -0.07 eV/atom

Material: YHf2Ge
Method: DFT, PBE-GGA
State: relaxed

abc: 4.9779 4.9779 4.9779
angles: 60.00 60.00 60.00
Closest atoms and distances in Å follow each position.
Positions (direct):
Ge 0.5000 0.5000 0.5000  4 Y 3.05, 4 Hf 3.05
Hf 0.7500 0.7500 0.7500  4 Hf 3.05, 4 Ge 3.05
Hf 0.0000 0.0000 0.0000  4 Y 3.05, 4 Hf 3.05
Y 0.2500 0.2500 0.2500  4 Ge 3.05, 4 Hf 3.05

Computed properties:
calculated total energy: -7.72 eV per atom

Material: PmPrW
Method: DFT, PBE-GGA
State: relaxed

abc: 4.9794 4.9794 4.9794
angles: 60.00 60.00 60.00
Closest atoms and distances in Å follow each position.
Positions (direct):
W 0.0000 0.0000 0.0000  4 Pr 3.05, 4 Pm 3.05
Pm 0.2500 0.2500 0.2500  4 W 3.05
Pr 0.7500 0.7500 0.7500  4 W 3.05

Computed properties:
ΔE_f: 0.85 eV/atom

Material: SrPrTe3Au
Method: DFT, PBE-GGA
State: relaxed

abc: 10.4037 10.4037 8.9460
angles: 101.26 101.26 24.63
Closest atoms and distances in Å follow each position.
Positions (direct):
Te 0.0000 0.0000 0.0000  4 Au 2.98, 2 Pr 3.23
Te 0.3143 0.3143 0.6406  1 Au 2.77
Te 0.6747 0.6747 0.8514  3 Pr 3.16-3.26, 2 Sr 3.32
Te 0.6857 0.6857 0.3594  1 Au 2.77
Te 0.3253 0.3253 0.1486  3 Pr 3.16-3.26, 2 Sr 3.32
Te 0.5000 0.5000 0.5000  2 Au 2.97, 4 Sr 3.29
Sr 0.8788 0.8788 0.4222  6 Te 3.29-3.39
Sr 0.1212 0.1212 0.5778  6 Te 3.29-3.39
Pr 0.8381 0.8381 0.9039  6 Te 3.16-3.26, 2 Au 3.45
Pr 0.1619 0.1619 0.0961  6 Te 3.16-3.26, 2 Au 3.45
Au 0.4479 0.4479 0.7874  4 Te 2.77-2.98
Au 0.5521 0.5521 0.2126  4 Te 2.77-2.98

Computed properties:
calculated total energy: -4.36 eV per atom